A geometry-optimized InSbI2Cl structure, computed with PBE-GGA.

Geometry as POSCAR:
```
InSbI2Cl
1.0
-5.717 -3.043 2.142
1.776 -5.681 -3.332
2.386 -1.630 4.052
Cl Sb In I
1 1 1 2
Cartesian
0.000 0.000 0.000 Cl
1.193 -0.815 2.026 Sb
-0.778 -5.178 1.431 In
0.888 -2.841 -1.666 I
-2.859 -1.522 1.071 I
```

Summary:
**Energy above the most stable polymorph in this dataset**: 0.020 eV/atom
**Space group**: P4/mmm
**Energy relative to the elements, uncorrected**: 0.25 eV per atom